Entry 1:
VASP calculation (PBE-GGA) on a relaxed SmHo2Sc3Se6 crystal.

abc: 6.8730 11.9554 6.9300
angles: 90.00 109.30 90.00
Space group C2/m (No. 12)
Symmetry-distinct sites (fractional):
Sm (0.0000, 0.0000, 0.0000)
Ho (0.0000, 0.3345, 0.0000)
Sc (0.0000, 0.1591, 0.5000)
Sc (0.0000, 0.5000, 0.5000)
Se (0.2403, 0.3291, 0.7317)
Se (0.2473, 0.5000, 0.2642)

Output
Formation energy (no corrections), eV/f.u.: -20.0

=====

Entry 2:
VASP calculation (PBE-GGA) on a relaxed Sm2HoScSe5 crystal.

abc: 5.1190 5.1190 10.3323
angles: 90.00 90.00 90.00
Space group P4/mmm (No. 123)
Symmetry-distinct sites (fractional):
Sm (0.0000, 0.0000, 0.2061)
Ho (0.5000, 0.5000, 0.0000)
Sc (0.5000, 0.5000, 0.5000)
Se (0.0000, 0.0000, 0.5000)
Se (0.0000, 0.5000, 0.0000)
Se (0.5000, 0.5000, 0.2622)

Output
Formation energy (no corrections), eV/f.u.: -10.6

=====

Entry 3:
VASP calculation (PBE-GGA) on a relaxed SmHo2ScSe6 crystal.

abc: 7.1301 7.1301 19.2660
angles: 90.00 90.00 120.00
Space group R3 (No. 146, hexagonal axes)
Symmetry-distinct sites (fractional):
Sm (0.0000, 0.0000, 0.0000)
Ho (0.0000, 0.0000, 0.3000)
Ho (0.0000, 0.0000, 0.8041)
Sc (0.0000, 0.0000, 0.4945)
Se (0.0065, 0.7069, 0.4021)
Se (0.0260, 0.3437, 0.5655)

Output
Formation energy (no corrections), eV/f.u.: -17.9